A plane-wave DFT calculation with PBE-GGA was carried out for a relaxed structure of Ho2ErPt3.

Values from the calculation:
Total magnetization = 0.0 μB/f.u.
DOS at the Fermi energy = 5.1 states/eV/cell
Energy relative to the elements = -1.14 eV per atom

a b c (Å): 6.999 6.999 6.999
angles (deg): 146.34 131.71 60.15
Positions (direct):
Ho1 0.167 0.167 0.000
Ho2 0.833 0.833 0.000
Er1 0.500 0.500 0.000
Pt1 0.000 0.500 0.500
Pt2 0.334 0.834 0.500
Pt3 0.666 0.166 0.500